(1)
A geometry-optimized V2H2Ir structure, computed with PBE.

Results
For the energy above the most stable polymorph in this dataset, the calculation gives 0.134 eV/atom. As for the final energy: -6.878 eV/atom.

Cell: 3.2472 3.2472 8.7837 Å, 90.00 90.00 90.00°
Sites, in units of the cell vectors:
V (0.0000, 0.0000, 0.1650)
V (0.0000, 0.0000, 0.8350)
V (0.5000, 0.5000, 0.3350)
V (0.5000, 0.5000, 0.6650)
H (0.0000, 0.5000, 0.2500)
H (0.0000, 0.5000, 0.7500)
H (0.5000, 0.0000, 0.2500)
H (0.5000, 0.0000, 0.7500)
Ir (0.0000, 0.0000, 0.5000)
Ir (0.5000, 0.5000, 0.0000)


(2)
A geometry-optimized CaGaAg2 structure, computed with PBE.

Results
As for the final energy: -2.929 eV/atom. The value obtained for the formation energy from the elements is -0.246 eV/atom.

Cell: 4.6093 4.6093 14.3964 Å, 90.00 90.00 120.00°
Sites, in units of the cell vectors:
Ca (0.0000, 0.0000, 0.0000)
Ca (0.3333, 0.6667, 0.6667)
Ca (0.6667, 0.3333, 0.3333)
Ga (0.0000, 0.0000, 0.5000)
Ga (0.3333, 0.6667, 0.1667)
Ga (0.6667, 0.3333, 0.8333)
Ag (0.0000, 0.0000, 0.2125)
Ag (0.0000, 0.0000, 0.7875)
Ag (0.3333, 0.6667, 0.4541)
Ag (0.3333, 0.6667, 0.8792)
Ag (0.6667, 0.3333, 0.1208)
Ag (0.6667, 0.3333, 0.5459)


(3)
A geometry-optimized K3MnS4 structure, computed with PBE.

Results
For the energy above the most stable polymorph in this dataset, the calculation gives 0.000 eV/atom. As for the final energy: -4.560 eV/atom. For the uncorrected formation energy, the calculation gives -0.939 eV per atom.

Cell: 9.1554 10.5788 9.2682 Å, 90.00 90.00 90.00°
Sites, in units of the cell vectors:
K (0.0519, 0.0451, 0.2038)
K (0.0519, 0.4549, 0.2038)
K (0.1406, 0.7500, 0.4189)
K (0.3594, 0.2500, 0.9189)
K (0.4481, 0.5451, 0.7038)
K (0.4481, 0.9549, 0.7038)
K (0.5519, 0.0451, 0.2962)
K (0.5519, 0.4549, 0.2962)
K (0.6406, 0.7500, 0.0811)
K (0.8594, 0.2500, 0.5811)
K (0.9481, 0.5451, 0.7962)
K (0.9481, 0.9549, 0.7962)
Mn (0.2210, 0.7500, 0.9840)
Mn (0.2790, 0.2500, 0.4840)
Mn (0.7210, 0.7500, 0.5160)
Mn (0.7790, 0.2500, 0.0160)
S (0.0099, 0.7500, 0.0800)
S (0.1658, 0.0841, 0.5447)
S (0.1658, 0.4159, 0.5447)
S (0.1985, 0.7500, 0.7565)
S (0.3015, 0.2500, 0.2565)
S (0.3342, 0.5841, 0.0447)
S (0.3342, 0.9159, 0.0447)
S (0.4901, 0.2500, 0.5800)
S (0.5099, 0.7500, 0.4200)
S (0.6658, 0.0841, 0.9553)
S (0.6658, 0.4159, 0.9553)
S (0.6985, 0.7500, 0.7435)
S (0.8015, 0.2500, 0.2435)
S (0.8342, 0.5841, 0.4553)
S (0.8342, 0.9159, 0.4553)
S (0.9901, 0.2500, 0.9200)


Look up the final energy of the third one.
-4.560 eV/atom


final energy of number 2 (CaGaAg2)?
-2.929 eV/atom


The lowest final energy belongs to which entry?
V2H2Ir


Copy entry 2 word for word.
A geometry-optimized CaGaAg2 structure, computed with PBE.

Results
As for the final energy: -2.929 eV/atom. The value obtained for the formation energy from the elements is -0.246 eV/atom.

Cell: 4.6093 4.6093 14.3964 Å, 90.00 90.00 120.00°
Sites, in units of the cell vectors:
Ca (0.0000, 0.0000, 0.0000)
Ca (0.3333, 0.6667, 0.6667)
Ca (0.6667, 0.3333, 0.3333)
Ga (0.0000, 0.0000, 0.5000)
Ga (0.3333, 0.6667, 0.1667)
Ga (0.6667, 0.3333, 0.8333)
Ag (0.0000, 0.0000, 0.2125)
Ag (0.0000, 0.0000, 0.7875)
Ag (0.3333, 0.6667, 0.4541)
Ag (0.3333, 0.6667, 0.8792)
Ag (0.6667, 0.3333, 0.1208)
Ag (0.6667, 0.3333, 0.5459)